{"formula": "Rb3Pu2F9", "functional": "GGA-PBE", "state": "optimized geometry", "mass_density_g_cm3": 5.331, "space_group": "R-3c, No. 167", "dft_energy_ev_per_atom": -6.635, "formation_energy_uncorrected_mev_per_atom": -3177, "lattice_angstrom": [[-6.076, 4.278, -3.683], [-2.271, -6.683, -4.355], [-5.363, -2.225, 5.923]], "species": ["F", "F", "F", "Rb", "Pu", "F", "Rb", "F", "Rb", "F", "F", "F", "F", "F", "Pu", "F", "F", "F", "F", "Pu", "F", "Pu", "Rb", "Rb", "F", "Rb", "F", "F"], "fractional_positions": [[0.046, 0.916, 0.270], [0.730, 0.954, 0.084], [0.546, 0.770, 0.416], [0.573, 0.250, 0.927], [0.131, 0.131, 0.131], [0.416, 0.546, 0.770], [0.750, 0.073, 0.427], [0.112, 0.250, 0.388], [0.927, 0.573, 0.250], [0.584, 0.454, 0.230], [0.612, 0.888, 0.750], [0.954, 0.084, 0.730], [0.750, 0.612, 0.888], [0.770, 0.416, 0.546], [0.369, 0.369, 0.369], [0.270, 0.046, 0.916], [0.250, 0.388, 0.112], [0.230, 0.584, 0.454], [0.916, 0.270, 0.046], [0.631, 0.631, 0.631], [0.084, 0.730, 0.954], [0.869, 0.869, 0.869], [0.250, 0.927, 0.573], [0.427, 0.750, 0.073], [0.388, 0.112, 0.250], [0.073, 0.427, 0.750], [0.888, 0.750, 0.612], [0.454, 0.230, 0.584]]}